Material: Li4MnZn
Method: DFT, PBE
State: optimized geometry

a = 5.0396 Å, b = 5.0396 Å, c = 5.0396 Å
α = 60.00°, β = 60.00°, γ = 60.00°
With the nearest neighbours (Å) after each atom.
Sites, in units of the cell vectors:
Zn: 0.0000 0.0000 0.0000  12 Li 2.95, 4 Mn 3.09
Mn: 0.7500 0.7500 0.7500  12 Li 2.95, 4 Zn 3.09
Li: 0.8752 0.3749 0.3749  6 Li 2.52
Li: 0.3749 0.8752 0.3749  6 Li 2.52
Li: 0.3749 0.3749 0.8752  6 Li 2.52
Li: 0.3749 0.3749 0.3749  6 Li 2.52

Uncorrected energy: -0.207 Ry/atom
Formation energy from the elements: 0.204 eV per atom
ρ: 2.718 g/cm³